# 1
Below is a crystal of AsIrCl4 relaxed with PBEsol, with properties calculated at the SCAN level.

The structure in POSCAR format:
```
AsIrCl4
1.0
5.422 0.000 0.000
2.711 4.696 0.000
2.711 1.565 4.427
As Ir Cl
1 1 4
direct
0.000 0.000 0.000
0.750 0.750 0.750
0.376 0.376 0.376
0.376 0.376 0.871
0.871 0.376 0.376
0.376 0.871 0.376
```

Values from the calculation:
electronic total energy = -18.971 eV per atom
formation energy (no corrections) = 1.5626 eV per atom
V = 112.71 Å³/f.u.

---

# 2
Below is a crystal of SiPSe2 relaxed with PBEsol, with properties calculated at the SCAN level.

The structure in POSCAR format:
```
SiPSe2
1.0
2.620 0.077 0.000
-0.077 2.620 0.000
0.000 0.000 11.589
P Si Se
1 1 2
direct
0.500 0.500 0.301
0.000 0.000 0.458
0.000 0.000 0.029
0.500 0.500 0.712
```

Values from the calculation:
electronic total energy = -14.625 eV per atom
formation energy (no corrections) = 0.5177 eV per atom
V = 79.61 Å³/f.u.

---

# 3
Below is a crystal of Hf2ScCo2 relaxed with PBEsol, with properties calculated at the SCAN level.

The structure in POSCAR format:
```
Hf2ScCo2
1.0
3.235 0.000 0.000
0.000 7.120 0.000
0.000 0.000 7.120
Sc Co Hf
2 4 4
direct
0.000 0.000 0.000
0.000 0.500 0.500
0.000 0.369 0.869
0.000 0.869 0.631
0.000 0.631 0.131
0.000 0.131 0.369
0.500 0.160 0.660
0.500 0.660 0.840
0.500 0.840 0.340
0.500 0.340 0.160
```

Values from the calculation:
electronic total energy = -35.044 eV per atom
calculated formation energy = -0.21 eV/atom
V = 82.00 Å³/f.u.

---

# 4
Below is a crystal of KCN2 relaxed with PBEsol, with properties calculated at the SCAN level.

The structure in POSCAR format:
```
KCN2
1.0
-3.000 0.704 -2.477
-2.527 -2.898 -0.918
-5.161 0.756 3.310
K C N
1 1 2
direct
0.500 0.500 0.500
0.000 0.000 0.000
0.928 0.928 0.215
0.072 0.072 0.785
```

Values from the calculation:
electronic total energy = -9.275 eV per atom
formation energy (no corrections) = -0.0227 eV per atom
V = 77.69 Å³/f.u.

---

# 5
Below is a crystal of Ta5Mo3 relaxed with PBEsol, with properties calculated at the SCAN level.

The structure in POSCAR format:
```
Ta5Mo3
1.0
-3.930 2.161 -0.562
-1.524 -1.765 3.872
5.074 4.916 1.600
Mo Ta
3 5
direct
0.502 0.002 0.003
0.622 0.622 0.245
0.002 0.502 0.003
0.748 0.248 0.496
0.881 0.881 0.761
0.119 0.119 0.239
0.248 0.748 0.496
0.378 0.378 0.756
```

Values from the calculation:
electronic total energy = -54.822 eV per atom
calculated formation energy = -0.13 eV/atom
V = 132.83 Å³/f.u.

---

# 6
Below is a crystal of HgTe3Rh relaxed with PBEsol, with properties calculated at the SCAN level.

The structure in POSCAR format:
```
HgTe3Rh
1.0
-0.992 -2.321 4.520
-1.152 -4.382 -2.504
4.949 -1.485 0.323
Te Rh Hg
3 1 1
direct
0.000 0.500 0.000
0.000 0.000 0.500
0.500 0.000 0.000
0.000 0.000 0.000
0.500 0.500 0.500
```

Values from the calculation:
electronic total energy = -42.417 eV per atom
formation energy (no corrections) = 0.3208 eV per atom
V = 138.73 Å³/f.u.

---

# 7
Below is a crystal of Re3TcRu relaxed with PBEsol, with properties calculated at the SCAN level.

The structure in POSCAR format:
```
Re3TcRu
1.0
4.523 0.000 0.000
0.000 4.523 0.000
0.000 0.000 4.523
Re Tc Ru
3 1 1
direct
0.000 0.500 0.000
0.000 0.000 0.500
0.500 0.000 0.000
0.000 0.000 0.000
0.500 0.500 0.500
```

Values from the calculation:
electronic total energy = -54.239 eV per atom
calculated formation energy = 2.40 eV/atom
V = 92.53 Å³/f.u.

---

# 8
Below is a crystal of Fe3Re relaxed with PBEsol, with properties calculated at the SCAN level.

The structure in POSCAR format:
```
Fe3Re
1.0
2.512 0.000 -0.001
0.000 4.062 0.000
-0.834 0.000 4.692
Re Fe
1 3
direct
0.000 0.500 0.500
0.734 0.000 0.756
0.266 0.000 0.244
0.500 0.500 0.000
```

Values from the calculation:
electronic total energy = -31.381 eV per atom
calculated formation energy = -0.01 eV/atom
V = 47.87 Å³/f.u.

---

Among the records above, which one has the highest electronic total energy?
KCN2

---

V of number 5 (Ta5Mo3)?
132.83 Å³/f.u.